# 1
Here is an optimized crystal structure of NdScFe4 from Alexandria via LeMat-Bulk. Energies are from PBE.

## Properties
**Energy**: -7.55 eV/atom
**Calculated density**: 7.28 g/cm³
**V**: 15.69 Å³/atom
**ΔH_f (0 K)**: -0.054 eV per atom
**Space-group type**: F-43m
**DOS at the Fermi energy**: 8.46 states/eV/cell

```
NdScFe4
1.0
0.000 3.611 3.611
3.611 0.000 3.611
3.611 3.611 0.000
Nd Sc Fe
1 1 4
direct
0.000 0.000 0.000 Nd
0.750 0.750 0.750 Sc
0.376 0.376 0.376 Fe
0.376 0.376 0.873 Fe
0.376 0.873 0.376 Fe
0.873 0.376 0.376 Fe
```

=====

# 2
Here is an optimized crystal structure of In4Sb from Alexandria via LeMat-Bulk. Energies are from PBE.

## Properties
**Offset from the most stable computed form**: 0.00 eV per formula unit
**Energy**: -2.88 eV/atom
**Calculated density**: 6.62 g/cm³
**V**: 29.15 Å³/atom
**ΔE_f (raw)**: 0.133 eV per atom
**Space-group type**: I4/mmm
**DOS at the Fermi energy**: 2.16 states/eV/cell

```
In4Sb
1.0
-2.090 2.090 8.339
2.090 -2.090 8.339
2.090 2.090 -8.339
In Sb
4 1
direct
0.093 0.093 0.000 In
0.250 0.750 0.500 In
0.750 0.250 0.500 In
0.907 0.907 0.000 In
0.500 0.500 0.000 Sb
```

=====

# 3
Here is an optimized crystal structure of Sr2LiMgZn from Alexandria via LeMat-Bulk. Energies are from PBE.

## Properties
**Offset from the most stable computed form**: 0.02 eV per formula unit
**Energy**: -1.55 eV/atom
**Calculated density**: 2.47 g/cm³
**V**: 36.58 Å³/atom
**ΔH_f (0 K)**: 0.076 eV per atom
**Space-group type**: P4/mmm
**DOS at the Fermi energy**: 4.40 states/eV/cell

```
Sr2LiMgZn
1.0
6.131 0.000 0.000
0.000 6.131 0.000
0.000 0.000 4.866
Sr Li Mg Zn
2 1 1 1
direct
0.000 0.500 0.000 Sr
0.500 0.000 0.000 Sr
0.000 0.000 0.500 Li
0.500 0.500 0.500 Mg
0.000 0.000 0.000 Zn
```

=====

# 4
Here is an optimized crystal structure of SrLi2ScGe from Alexandria via LeMat-Bulk. Energies are from PBE.

## Properties
**Energy**: -2.13 eV/atom
**Calculated density**: 2.63 g/cm³
**V**: 27.63 Å³/atom
**ΔH_f (0 K)**: 1.162 eV per atom
**Space-group type**: P4/mmm
**DOS at the Fermi energy**: 5.57 states/eV/cell

```
SrLi2ScGe
1.0
4.910 0.000 0.000
0.000 4.910 0.000
0.000 0.000 5.732
Sr Li Sc Ge
1 2 1 1
direct
0.000 0.000 0.000 Sr
0.000 0.500 0.000 Li
0.500 0.000 0.000 Li
0.000 0.000 0.500 Sc
0.500 0.500 0.500 Ge
```

=====

# 5
Here is an optimized crystal structure of AlMo2Cl from Alexandria via LeMat-Bulk. Energies are from PBE.

## Properties
**Offset from the most stable computed form**: 1.44 eV per formula unit
**Energy**: -6.42 eV/atom
**Calculated density**: 6.63 g/cm³
**V**: 15.93 Å³/atom
**ΔE_f (raw)**: 0.396 eV per atom
**Space-group type**: P4/mmm
**DOS at the Fermi energy**: 3.13 states/eV/cell

```
AlMo2Cl
1.0
2.791 0.000 0.000
0.000 2.791 0.000
0.000 0.000 8.183
Al Mo Cl
1 2 1
direct
0.000 0.000 0.000 Al
0.500 0.500 0.238 Mo
0.500 0.500 0.762 Mo
0.000 0.000 0.500 Cl
```

=====

# 6
Here is an optimized crystal structure of HfMg6NbO8 from Alexandria via LeMat-Bulk. Energies are from PBE.

## Properties
**Offset from the most stable computed form**: 0.00 eV per formula unit
**Energy**: -6.65 eV/atom
**Calculated density**: 5.38 g/cm³
**V**: 10.51 Å³/atom
**ΔE_f (raw)**: -2.322 eV per atom
**Space-group type**: P4/mmm
**DOS at the Fermi energy**: 4.39 states/eV/cell

```
HfMg6NbO8
1.0
4.354 0.000 0.000
0.000 4.354 0.000
0.000 0.000 8.875
Hf Mg Nb O
1 6 1 8
direct
0.000 0.000 0.000 Hf
0.000 0.000 0.500 Mg
0.000 0.500 0.261 Mg
0.000 0.500 0.739 Mg
0.500 0.000 0.261 Mg
0.500 0.000 0.739 Mg
0.500 0.500 0.500 Mg
0.500 0.500 0.000 Nb
0.000 0.000 0.256 O
0.000 0.000 0.744 O
0.000 0.500 0.000 O
0.000 0.500 0.500 O
0.500 0.000 0.000 O
0.500 0.000 0.500 O
0.500 0.500 0.267 O
0.500 0.500 0.733 O
```

=====

# 7
Here is an optimized crystal structure of Pr6GaRu2 from Alexandria via LeMat-Bulk. Energies are from PBE.

## Properties
**Offset from the most stable computed form**: 0.87 eV per formula unit
**Energy**: -5.74 eV/atom
**Calculated density**: 6.57 g/cm³
**V**: 31.36 Å³/atom
**ΔH_f (0 K)**: -0.158 eV per atom
**Space-group type**: C2/m
**DOS at the Fermi energy**: 7.84 states/eV/cell

```
Pr6GaRu2
1.0
5.734 -2.124 0.000
5.734 2.124 0.000
-2.573 0.000 11.589
Pr Ga Ru
6 1 2
direct
0.017 0.017 0.268 Pr
0.305 0.305 0.891 Pr
0.341 0.341 0.422 Pr
0.659 0.659 0.578 Pr
0.695 0.695 0.109 Pr
0.983 0.983 0.732 Pr
0.000 0.000 0.000 Ga
0.322 0.322 0.665 Ru
0.678 0.678 0.335 Ru
```

=====

# 8
Here is an optimized crystal structure of Mo2AsPd2 from Alexandria via LeMat-Bulk. Energies are from PBE.

## Properties
**Offset from the most stable computed form**: 1.29 eV per formula unit
**Energy**: -6.98 eV/atom
**Calculated density**: 9.41 g/cm³
**V**: 16.92 Å³/atom
**ΔH_f (0 K)**: 0.364 eV per atom
**Space-group type**: I4/mmm
**DOS at the Fermi energy**: 4.96 states/eV/cell

```
Mo2AsPd2
1.0
-1.784 1.784 6.648
1.784 -1.784 6.648
1.784 1.784 -6.648
Mo As Pd
2 1 2
direct
0.095 0.095 0.000 Mo
0.905 0.905 0.000 Mo
0.500 0.500 0.000 As
0.250 0.750 0.500 Pd
0.750 0.250 0.500 Pd
```

=====

# 9
Here is an optimized crystal structure of IrIBr2 from Alexandria via LeMat-Bulk. Energies are from PBE.

## Properties
**Offset from the most stable computed form**: 1.96 eV per formula unit
**Energy**: -3.16 eV/atom
**Calculated density**: 6.24 g/cm³
**V**: 31.84 Å³/atom
**ΔE_f (raw)**: 0.277 eV per atom
**Space-group type**: R-3m
**DOS at the Fermi energy**: 3.91 states/eV/cell

```
IrIBr2
1.0
1.876 1.083 10.449
-1.876 1.083 10.449
0.000 -2.166 10.449
Ir I Br
1 1 2
direct
0.000 0.000 0.000 Ir
0.500 0.500 0.500 I
0.377 0.377 0.377 Br
0.623 0.623 0.623 Br
```

=====

# 10
Here is an optimized crystal structure of LiTiCl5 from Alexandria via LeMat-Bulk. Energies are from PBE.

## Properties
**Offset from the most stable computed form**: 0.09 eV per formula unit
**Energy**: -4.27 eV/atom
**Calculated density**: 2.02 g/cm³
**V**: 27.27 Å³/atom
**ΔE_f (raw)**: -1.549 eV per atom
**Space-group type**: C2/c
**DOS at the Fermi energy**: 0.00 states/eV/cell

```
LiTiCl5
1.0
4.789 -4.969 0.000
4.789 4.969 0.000
-4.657 0.000 8.020
Li Ti Cl
2 2 10
direct
0.124 0.876 0.750 Li
0.876 0.124 0.250 Li
0.000 0.500 0.000 Ti
0.500 0.000 0.500 Ti
0.147 0.200 0.968 Cl
0.158 0.584 0.839 Cl
0.200 0.147 0.468 Cl
0.321 0.679 0.250 Cl
0.416 0.842 0.661 Cl
0.584 0.158 0.339 Cl
0.679 0.321 0.750 Cl
0.800 0.853 0.532 Cl
0.842 0.416 0.161 Cl
0.853 0.800 0.032 Cl
```

=====

# 11
Here is an optimized crystal structure of In2HgBr from Alexandria via LeMat-Bulk. Energies are from PBE.

## Properties
**Offset from the most stable computed form**: 0.26 eV per formula unit
**Energy**: -2.07 eV/atom
**Calculated density**: 7.24 g/cm³
**V**: 29.26 Å³/atom
**ΔE_f (raw)**: -0.205 eV per atom
**Space-group type**: Pmmm
**DOS at the Fermi energy**: 1.24 states/eV/cell

```
In2HgBr
1.0
3.882 0.000 0.000
0.000 5.173 0.000
0.000 0.000 5.828
In Hg Br
2 1 1
direct
0.000 0.000 0.000 In
0.500 0.000 0.500 In
0.000 0.500 0.500 Hg
0.500 0.500 0.000 Br
```

=====

# 12
Here is an optimized crystal structure of LiCa2Y from Alexandria via LeMat-Bulk. Energies are from PBE.

## Properties
**Offset from the most stable computed form**: 0.82 eV per formula unit
**Energy**: -2.80 eV/atom
**Calculated density**: 2.18 g/cm³
**V**: 33.51 Å³/atom
**ΔH_f (0 K)**: 0.299 eV per atom
**Space-group type**: I-42d
**DOS at the Fermi energy**: 9.35 states/eV/cell

```
LiCa2Y
1.0
-4.407 4.407 3.451
4.407 -4.407 3.451
4.407 4.407 -3.451
Li Ca Y
2 4 2
direct
0.000 0.000 0.000 Li
0.750 0.250 0.500 Li
0.076 0.625 0.951 Ca
0.375 0.326 0.451 Ca
0.674 0.125 0.049 Ca
0.875 0.924 0.549 Ca
0.250 0.750 0.500 Y
0.500 0.500 0.000 Y
```

=====

# 13
Here is an optimized crystal structure of Tb2PmHo2Mg2 from Alexandria via LeMat-Bulk. Energies are from PBE.

## Properties
**Energy**: -3.80 eV/atom
**Calculated density**: 6.73 g/cm³
**V**: 29.64 Å³/atom
**ΔH_f (0 K)**: -0.032 eV per atom
**Space-group type**: R-3m
**DOS at the Fermi energy**: 7.06 states/eV/cell

```
Tb2PmHo2Mg2
1.0
2.732 1.577 8.023
-2.732 1.577 8.023
0.000 -3.155 8.023
Tb Pm Ho Mg
2 1 2 2
direct
0.156 0.156 0.156 Tb
0.844 0.844 0.844 Tb
0.000 0.000 0.000 Pm
0.428 0.428 0.428 Ho
0.572 0.572 0.572 Ho
0.290 0.290 0.290 Mg
0.710 0.710 0.710 Mg
```